# 1
A plane-wave DFT calculation with SCAN was carried out for a crystal of RbMgAu2N relaxed with PBEsol.

## Properties
Density of states at the Fermi level in states/eV/f.u.: 4.5
Raw formation energy in eV per atom: 1.888
SG: P4/mmm (123)
Calculated total energy in eV/f.u.: -163.876

a = 6.1705 Å, b = 6.1705 Å, c = 7.3173 Å
α = 90.00°, β = 90.00°, γ = 90.00°
Closest atoms and distances in Å follow each position.
Fractional coordinates of all 5 atoms:
Au 0.5000 0.0000 0.0000  2 Rb 3.09
Au 0.0000 0.5000 0.0000  2 Rb 3.09
Mg 0.0000 0.0000 0.5000  2 Rb 3.66
Rb 0.0000 0.0000 0.0000  4 Au 3.09
N 0.5000 0.5000 0.5000  4 Mg 4.36, 8 Au 4.79

# 2
A plane-wave DFT calculation with SCAN was carried out for a crystal of MgSb2AuN relaxed with PBEsol.

## Properties
Density of states at the Fermi level in states/eV/f.u.: 3.0
Raw formation energy in eV per atom: 0.734
SG: P4/mmm (123)
Calculated total energy in eV/f.u.: -154.275

a = 3.6707 Å, b = 5.6652 Å, c = 5.6652 Å
α = 90.00°, β = 90.00°, γ = 90.00°
Closest atoms and distances in Å follow each position.
Fractional coordinates of all 5 atoms:
Mg 0.5000 0.5000 0.5000  8 Sb 3.38, 2 Mg 3.67
Au 0.0000 0.0000 0.0000  2 N 1.84
Sb 0.0000 0.0000 0.5000  2 Au 2.83
Sb 0.0000 0.5000 0.0000  2 Au 2.83
N 0.5000 0.0000 0.0000  2 Au 1.84

# 3
A plane-wave DFT calculation with SCAN was carried out for a crystal of MgAuSe2N relaxed with PBEsol.

## Properties
Density of states at the Fermi level in states/eV/f.u.: 3.6
Raw formation energy in eV per atom: 0.758
SG: P4/mmm (123)
Calculated total energy in eV/f.u.: -119.788

a = 3.8588 Å, b = 5.0204 Å, c = 5.0204 Å
α = 90.00°, β = 90.00°, γ = 90.00°
Closest atoms and distances in Å follow each position.
Fractional coordinates of all 5 atoms:
Se 0.0000 0.0000 0.5000  2 Mg 2.51
Se 0.0000 0.5000 0.0000  2 Mg 2.51
Au 0.5000 0.5000 0.5000  8 Se 3.17
Mg 0.0000 0.0000 0.0000  2 N 1.93
N 0.5000 0.0000 0.0000  2 Mg 1.93